BaBeTl2: optimized geometry, PBE. Values from VASP.

Quantum ESPRESSO input file:
```
&SYSTEM
  ibrav = 0, nat = 4, ntyp = 3
/
ATOMIC_SPECIES
Tl 204.38 Tl.upf
Ba 137.33 Ba.upf
Be 9.01 Be.upf
ATOMIC_POSITIONS crystal
Tl 0.0387 0.1151 0.0764
Tl 0.2791 0.8368 0.5577
Ba 0.4915 0.4770 0.9855
Be 0.6907 0.0712 0.3804
CELL_PARAMETERS angstrom
-4.3026 -1.2714 0.7363
1.5691 -1.4300 6.8019
0.9844 4.3599 -0.8327
```

Values from the calculation:
- M_tot: 0.00 Bohr magnetons per cell
- Calculated density: 7.79 g/cm³
- E_tot: -2.560 eV/atom

CdPAu: optimized geometry, PBE. Values from VASP.

Quantum ESPRESSO input file:
```
&SYSTEM
  ibrav = 0, nat = 3, ntyp = 3
/
ATOMIC_SPECIES
P 30.97 P.upf
Cd 112.41 Cd.upf
Au 196.97 Au.upf
ATOMIC_POSITIONS crystal
P 0.6556 0.6556 0.0000
Cd 0.3319 0.3319 0.0000
Au 0.0125 0.0125 0.0000
CELL_PARAMETERS angstrom
5.8128 0.6575 -0.0758
3.4648 4.7134 0.0758
-4.2842 -3.2980 2.2351
```

Values from the calculation:
- M_tot: 0.00 Bohr magnetons per cell
- Calculated density: 9.96 g/cm³
- E_tot: -2.948 eV/atom

MgAgMo2: optimized geometry, PBE. Values from VASP.

Quantum ESPRESSO input file:
```
&SYSTEM
  ibrav = 0, nat = 4, ntyp = 3
/
ATOMIC_SPECIES
Mo 95.94 Mo.upf
Ag 107.87 Ag.upf
Mg 24.30 Mg.upf
ATOMIC_POSITIONS crystal
Mo 0.5000 0.0000 0.5000
Mo 0.0000 0.0000 0.0000
Ag 0.0000 0.5000 0.5000
Mg 0.5000 0.5000 0.0000
CELL_PARAMETERS angstrom
-3.1899 -4.2789 -0.7247
5.3494 -0.9993 -0.5763
0.2310 -1.5428 2.2026
```

Values from the calculation:
- M_tot: 0.00 Bohr magnetons per cell
- Calculated density: 8.07 g/cm³
- E_tot: -6.170 eV/atom

In order of appearance, calculated formation energy = 0.14, 0.76, 1.43 eV per formula unit.
In order of appearance, D(E_F) = 0.48, 0.35, 0.54 states/eV/atom.